A plane-wave DFT calculation with PBE-GGA was carried out for a geometry-optimized Zn4Si5 structure.

Computed properties:
- E_form (uncorrected) (meV per atom) = 366
- total magnetic moment (μB per formula unit) = 0.000
- ΔE to the lowest computed polymorph (eV/atom) = 0.000

Unit cell a=6.1121 b=6.1121 c=6.1121 alpha=96.69 beta=96.69 gamma=140.09
Last column: nearest neighbours and their distance in Å.
Positions (direct):
Zn  0.0000  0.3365  0.3365  5 Zn 2.66-2.81, 7 Si 2.73-2.85
Zn  0.0000  0.6635  0.6635  5 Zn 2.66-2.81, 7 Si 2.73-2.85
Zn  0.3365  0.0000  0.3365  5 Zn 2.66-2.81, 7 Si 2.73-2.85
Zn  0.6635  0.0000  0.6635  5 Zn 2.66-2.81, 7 Si 2.73-2.85
Si  0.0000  0.0000  0.0000  4 Zn 2.73, 8 Si 2.79
Si  0.3384  0.3384  0.6767  6 Si 2.63-2.91, 6 Zn 2.75-2.85
Si  0.3384  0.6616  0.0000  6 Si 2.63-2.91, 6 Zn 2.75-2.85
Si  0.6616  0.3384  0.0000  6 Si 2.63-2.91, 6 Zn 2.75-2.85
Si  0.6616  0.6616  0.3233  6 Si 2.63-2.91, 6 Zn 2.75-2.85